--- one ---
DFT (GGA-PBE) results for a relaxed structure of Se2SIBr.

Unit cell a=5.440 b=5.440 c=5.730 alpha=90.00 beta=90.00 gamma=90.00
Atoms (fractional coordinates):
Se 0.000 0.500 0.000
Se 0.500 0.000 0.000
S 0.000 0.000 0.500
I 0.500 0.500 0.000
Br 0.500 0.500 0.500

***

--- two ---
DFT (GGA-PBE) results for a relaxed structure of Se2SIBr.

Unit cell a=5.038 b=5.038 c=5.102 alpha=90.00 beta=90.00 gamma=90.00
Atoms (fractional coordinates):
Se 0.000 0.500 0.000
Se 0.500 0.000 0.000
S 0.000 0.000 0.000
I 0.500 0.500 0.500
Br 0.000 0.000 0.500

***

Which structure loses on stability? one does.

***

--- one ---
DFT (GGA-PBE) results for a relaxed structure of Te2SIBr.

Unit cell a=5.353 b=5.353 c=5.513 alpha=90.00 beta=90.00 gamma=90.00
Atoms (fractional coordinates):
Te 0.000 0.500 0.000
Te 0.500 0.000 0.000
S 0.000 0.000 0.000
I 0.000 0.000 0.500
Br 0.500 0.500 0.500

***

--- two ---
DFT (GGA-PBE) results for a relaxed structure of Te2SIBr.

Unit cell a=5.748 b=5.748 c=5.887 alpha=90.00 beta=90.00 gamma=90.00
Atoms (fractional coordinates):
Te 0.000 0.500 0.000
Te 0.500 0.000 0.000
S 0.000 0.000 0.500
I 0.500 0.500 0.500
Br 0.500 0.500 0.000

***

Which structure loses on stability? two does.

***

--- one ---
DFT (GGA-PBE) results for a relaxed structure of TeSI2Br.

Unit cell a=5.883 b=5.883 c=5.623 alpha=90.00 beta=90.00 gamma=90.00
Atoms (fractional coordinates):
Te 0.000 0.000 0.000
S 0.500 0.500 0.000
I 0.000 0.500 0.500
I 0.500 0.000 0.500
Br 0.000 0.000 0.500

***

--- two ---
DFT (GGA-PBE) results for a relaxed structure of TeSI2Br.

Unit cell a=5.447 b=5.447 c=5.503 alpha=90.00 beta=90.00 gamma=90.00
Atoms (fractional coordinates):
Te 0.000 0.000 0.000
S 0.000 0.000 0.500
I 0.000 0.500 0.500
I 0.500 0.000 0.500
Br 0.500 0.500 0.000

***

Which structure loses on stability? one does.

***

--- one ---
DFT (GGA-PBE) results for a relaxed structure of WSI2Br.

Unit cell a=5.560 b=5.560 c=4.573 alpha=90.00 beta=90.00 gamma=90.00
Atoms (fractional coordinates):
W 0.000 0.000 0.000
S 0.000 0.000 0.500
I 0.000 0.500 0.000
I 0.500 0.000 0.000
Br 0.500 0.500 0.500

***

--- two ---
DFT (GGA-PBE) results for a relaxed structure of WSI2Br.

Unit cell a=5.522 b=5.522 c=5.079 alpha=90.00 beta=90.00 gamma=90.00
Atoms (fractional coordinates):
W 0.000 0.000 0.000
S 0.500 0.500 0.500
I 0.000 0.500 0.500
I 0.500 0.000 0.500
Br 0.500 0.500 0.000

***

Which structure loses on stability? two does.

***

--- one ---
DFT (GGA-PBE) results for a relaxed structure of SbIBr2.

Unit cell a=11.200 b=11.200 c=11.200 alpha=19.34 beta=19.34 gamma=19.34
Atoms (fractional coordinates):
Sb 0.000 0.000 0.000
I 0.500 0.500 0.500
Br 0.398 0.398 0.398
Br 0.602 0.602 0.602

***

--- two ---
DFT (GGA-PBE) results for a relaxed structure of SbIBr2.

Unit cell a=5.435 b=5.435 c=5.435 alpha=60.00 beta=60.00 gamma=60.00
Atoms (fractional coordinates):
Sb 0.000 0.000 0.000
I 0.500 0.500 0.500
Br 0.250 0.250 0.250
Br 0.750 0.750 0.750

***

--- three ---
DFT (GGA-PBE) results for a relaxed structure of SbIBr2.

Unit cell a=13.912 b=13.912 c=13.912 alpha=14.40 beta=14.40 gamma=14.40
Atoms (fractional coordinates):
Sb 0.000 0.000 0.000
I 0.500 0.500 0.500
Br 0.064 0.064 0.064
Br 0.936 0.936 0.936

***

Which structure loses on stability? two does.

***

--- one ---
DFT (GGA-PBE) results for a relaxed structure of SbIBr2.

Unit cell a=7.731 b=7.731 c=7.731 alpha=98.81 beta=98.81 gamma=133.93
Atoms (fractional coordinates):
Sb 0.000 0.000 0.000
Sb 0.750 0.250 0.500
I 0.250 0.750 0.500
I 0.500 0.500 0.000
Br 0.375 0.246 0.371
Br 0.754 0.125 0.129
Br 0.875 0.004 0.629
Br 0.996 0.625 0.871

***

--- two ---
DFT (GGA-PBE) results for a relaxed structure of SbIBr2.

Unit cell a=7.330 b=7.330 c=7.428 alpha=91.48 beta=91.48 gamma=119.15
Atoms (fractional coordinates):
Sb 0.166 0.834 0.000
Sb 0.834 0.166 0.000
I 0.165 0.508 0.247
I 0.508 0.165 0.247
Br 0.123 0.123 0.776
Br 0.484 0.850 0.782
Br 0.850 0.484 0.782
Br 0.864 0.864 0.216

***

Which structure loses on stability? one does.

***

--- one ---
DFT (GGA-PBE) results for a relaxed structure of SbIBr3.

Unit cell a=6.112 b=7.636 c=9.622 alpha=89.90 beta=87.16 gamma=89.91
Atoms (fractional coordinates):
Sb 0.000 0.000 0.000
Sb 0.500 0.001 0.500
I 0.481 0.751 0.754
I 0.980 0.250 0.253
Br 0.230 0.800 0.388
Br 0.241 0.207 0.635
Br 0.478 0.243 0.268
Br 0.730 0.201 0.888
Br 0.742 0.794 0.135
Br 0.979 0.759 0.768

***

--- two ---
DFT (GGA-PBE) results for a relaxed structure of SbIBr3.

Unit cell a=5.624 b=5.624 c=5.624 alpha=90.00 beta=90.00 gamma=90.00
Atoms (fractional coordinates):
Sb 0.000 0.000 0.000
I 0.500 0.500 0.500
Br 0.000 0.000 0.500
Br 0.000 0.500 0.000
Br 0.500 0.000 0.000

***

--- three ---
DFT (GGA-PBE) results for a relaxed structure of SbIBr3.

Unit cell a=8.309 b=8.235 c=15.249 alpha=90.00 beta=90.08 gamma=90.00
Atoms (fractional coordinates):
Sb 0.096 0.196 0.097
Sb 0.096 0.804 0.597
Sb 0.904 0.196 0.403
Sb 0.904 0.804 0.903
I 0.080 0.401 0.829
I 0.080 0.599 0.329
I 0.920 0.401 0.671
I 0.920 0.599 0.171
Br 0.226 0.060 0.529
Br 0.226 0.940 0.029
Br 0.255 0.173 0.240
Br 0.255 0.827 0.740
Br 0.284 0.396 0.015
Br 0.284 0.604 0.515
Br 0.716 0.396 0.485
Br 0.716 0.604 0.985
Br 0.745 0.173 0.260
Br 0.745 0.827 0.760
Br 0.774 0.060 0.971
Br 0.774 0.940 0.471

***

Which structure loses on stability? two does.

***

--- one ---
DFT (GGA-PBE) results for a relaxed structure of Sb3IBr.

Unit cell a=5.632 b=5.632 c=5.632 alpha=90.00 beta=90.00 gamma=90.00
Atoms (fractional coordinates):
Sb 0.000 0.000 0.500
Sb 0.000 0.500 0.000
Sb 0.500 0.000 0.000
I 0.500 0.500 0.500
Br 0.000 0.000 0.000

***

--- two ---
DFT (GGA-PBE) results for a relaxed structure of Sb3IBr.

Unit cell a=5.830 b=5.830 c=5.830 alpha=90.00 beta=90.00 gamma=90.00
Atoms (fractional coordinates):
Sb 0.000 0.000 0.500
Sb 0.000 0.500 0.000
Sb 0.500 0.000 0.000
I 0.000 0.000 0.000
Br 0.500 0.500 0.500

***

Which structure loses on stability? two does.

***

--- one ---
DFT (GGA-PBE) results for a relaxed structure of SbIBr4.

Unit cell a=9.442 b=9.442 c=7.737 alpha=112.50 beta=112.50 gamma=59.66
Atoms (fractional coordinates):
Sb 0.067 0.067 0.317
Sb 0.933 0.933 0.683
I 0.343 0.343 0.847
I 0.657 0.657 0.153
Br 0.059 0.667 0.428
Br 0.186 0.186 0.189
Br 0.295 0.705 0.000
Br 0.333 0.941 0.572
Br 0.667 0.059 0.428
Br 0.705 0.295 0.000
Br 0.814 0.814 0.811
Br 0.941 0.333 0.572

***

--- two ---
DFT (GGA-PBE) results for a relaxed structure of SbIBr4.

Unit cell a=5.250 b=8.012 c=8.487 alpha=68.49 beta=76.42 gamma=75.77
Atoms (fractional coordinates):
Sb 0.000 0.000 0.000
I 0.287 0.332 0.324
Br 0.171 0.822 0.792
Br 0.657 0.246 0.835
Br 0.674 0.796 0.208
Br 0.796 0.223 0.336

***

Which structure loses on stability? one does.

***

--- one ---
DFT (GGA-PBE) results for a relaxed structure of Sb2IBr.

Unit cell a=7.036 b=7.036 c=7.036 alpha=103.82 beta=103.82 gamma=121.49
Atoms (fractional coordinates):
Sb 0.120 0.625 0.995
Sb 0.375 0.370 0.495
Sb 0.630 0.125 0.005
Sb 0.875 0.880 0.505
I 0.250 0.750 0.500
I 0.500 0.500 0.000
Br 0.000 0.000 0.000
Br 0.750 0.250 0.500

***

--- two ---
DFT (GGA-PBE) results for a relaxed structure of Sb2IBr.

Unit cell a=5.472 b=5.472 c=5.472 alpha=60.00 beta=60.00 gamma=60.00
Atoms (fractional coordinates):
Sb 0.250 0.250 0.250
Sb 0.750 0.750 0.750
I 0.000 0.000 0.000
Br 0.500 0.500 0.500

***

Which structure loses on stability? two does.

***

--- one ---
DFT (GGA-PBE) results for a relaxed structure of Sb2SeIBr.

Unit cell a=5.676 b=5.676 c=5.581 alpha=90.00 beta=90.00 gamma=90.00
Atoms (fractional coordinates):
Sb 0.000 0.500 0.000
Sb 0.500 0.000 0.000
Se 0.000 0.000 0.500
I 0.500 0.500 0.500
Br 0.500 0.500 0.000

***

--- two ---
DFT (GGA-PBE) results for a relaxed structure of Sb2SeIBr.

Unit cell a=5.547 b=5.547 c=5.765 alpha=90.00 beta=90.00 gamma=90.00
Atoms (fractional coordinates):
Sb 0.000 0.500 0.000
Sb 0.500 0.000 0.000
Se 0.000 0.000 0.000
I 0.000 0.000 0.500
Br 0.500 0.500 0.500

***

Which structure loses on stability? one does.

***

--- one ---
DFT (GGA-PBE) results for a relaxed structure of SiSbI2Br.

Unit cell a=5.407 b=5.407 c=5.598 alpha=90.00 beta=90.00 gamma=90.00
Atoms (fractional coordinates):
Si 0.000 0.000 0.000
Sb 0.000 0.000 0.500
I 0.000 0.500 0.000
I 0.500 0.000 0.000
Br 0.500 0.500 0.500

***

--- two ---
DFT (GGA-PBE) results for a relaxed structure of SiSbI2Br.

Unit cell a=5.692 b=5.692 c=5.862 alpha=90.00 beta=90.00 gamma=90.00
Atoms (fractional coordinates):
Si 0.000 0.000 0.000
Sb 0.500 0.500 0.000
I 0.000 0.500 0.500
I 0.500 0.000 0.500
Br 0.500 0.500 0.500

***

Which structure loses on stability? two does.